# HfMgNb | the Alexandria database | PBE-GGA | relaxed
# DOS at the Fermi energy   2.77 states/eV/f.u.
# Total energy   -7.071 eV/atom
# ΔH_f (0 K)   0.13 eV/atom
data_HfMgNb
_chemical_formula_sum 'Hf2 Mg2 Nb2'
_space_group_name_H-M_alt 'I 4 m m'
_space_group_IT_number 107
_space_group_name_Hall 'I 4 -2'
_cell_length_a 2.936
_cell_length_b 2.936
_cell_length_c 14.432
_cell_angle_alpha 90.00
_cell_angle_beta 90.00
_cell_angle_gamma 90.00
loop_
_atom_site_label
_atom_site_type_symbol
_atom_site_fract_x
_atom_site_fract_y
_atom_site_fract_z
Hf1 Hf 0.000 0.000 0.000
Mg1 Mg 0.000 0.000 0.679
Nb1 Nb 0.000 0.000 0.346


# TbPaCuRh | the Alexandria database | PBE-GGA | relaxed
# DOS at the Fermi energy   5.77 states/eV/f.u.
# Total energy   -6.706 eV/atom
# ΔH_f (0 K)   -0.31 eV/atom
data_TbPaCuRh
_chemical_formula_sum 'Tb4 Pa4 Cu4 Rh4'
_space_group_name_H-M_alt 'F -4 3 m'
_space_group_IT_number 216
_space_group_name_Hall 'F -4 2 3'
_cell_length_a 6.916
_cell_length_b 6.916
_cell_length_c 6.916
_cell_angle_alpha 90.00
_cell_angle_beta 90.00
_cell_angle_gamma 90.00
loop_
_atom_site_label
_atom_site_type_symbol
_atom_site_fract_x
_atom_site_fract_y
_atom_site_fract_z
Tb1 Tb 0.000 0.000 0.000
Pa1 Pa 0.000 0.000 0.500
Cu1 Cu 0.250 0.250 0.250
Rh1 Rh 0.250 0.250 0.750


# Sc2PI | the Alexandria database | PBE-GGA | relaxed
# E_form (uncorrected)   -0.68 eV per atom
# DOS at the Fermi energy   3.38 states/eV/f.u.
# Total energy   -5.581 eV/atom
data_Sc2PI
_chemical_formula_sum 'Sc8 P4 I4'
_space_group_name_H-M_alt 'I -4 2 d'
_space_group_IT_number 122
_space_group_name_Hall 'I -4 2bw'
_cell_length_a 6.243
_cell_length_b 6.243
_cell_length_c 12.289
_cell_angle_alpha 90.00
_cell_angle_beta 90.00
_cell_angle_gamma 90.00
loop_
_atom_site_label
_atom_site_type_symbol
_atom_site_fract_x
_atom_site_fract_y
_atom_site_fract_z
Sc1 Sc 0.191 0.250 0.125
P1 P 0.000 0.000 0.000
I1 I 0.000 0.000 0.500


# Y3TlO | the Alexandria database | PBE-GGA | relaxed
# E_form (uncorrected)   -1.16 eV per atom
# DOS at the Fermi energy   4.41 states/eV/f.u.
# Total energy   -6.504 eV/atom
data_Y3TlO
_chemical_formula_sum 'Y12 Tl4 O4'
_space_group_name_H-M_alt 'C 1 2/m 1'
_space_group_IT_number 12
_cell_length_a 13.066
_cell_length_b 3.639
_cell_length_c 11.840
_cell_angle_alpha 90.00
_cell_angle_beta 104.17
_cell_angle_gamma 90.00
loop_
_space_group_symop_operation_xyz
'x,y,z'
'-x,-y,-z'
'-x,y,-z'
'x,-y,z'
'x+1/2,y+1/2,z'
'-x+1/2,-y+1/2,-z'
'-x+1/2,y+1/2,-z'
'x+1/2,-y+1/2,z'
loop_
_atom_site_label
_atom_site_type_symbol
_atom_site_fract_x
_atom_site_fract_y
_atom_site_fract_z
Y1 Y 0.101 0.000 0.136
Y2 Y 0.166 0.000 0.856
Y3 Y 0.178 0.500 0.591
Tl1 Tl 0.038 0.000 0.375
O1 O 0.227 0.500 0.784


# BaReSeN2 | the Alexandria database | PBE-GGA | relaxed
# E_form (uncorrected)   2.44 eV per atom
# DOS at the Fermi energy   3.15 states/eV/f.u.
# Total energy   -4.459 eV/atom
data_BaReSeN2
_chemical_formula_sum 'Ba1 Re1 Se1 N2'
_space_group_name_H-M_alt 'P 4/m m m'
_space_group_IT_number 123
_space_group_name_Hall '-P 4 2'
_cell_length_a 4.311
_cell_length_b 4.311
_cell_length_c 6.609
_cell_angle_alpha 90.00
_cell_angle_beta 90.00
_cell_angle_gamma 90.00
loop_
_atom_site_label
_atom_site_type_symbol
_atom_site_fract_x
_atom_site_fract_y
_atom_site_fract_z
Ba1 Ba 0.000 0.000 0.000
Re1 Re 0.500 0.500 0.500
Se1 Se 0.000 0.000 0.500
N1 N 0.000 0.500 0.000


# YTa2Nb | the Alexandria database | PBE-GGA | relaxed
# DOS at the Fermi energy   3.64 states/eV/f.u.
# Total energy   -9.214 eV/atom
# ΔH_f (0 K)   0.85 eV/atom
data_YTa2Nb
_chemical_formula_sum 'Y4 Ta8 Nb4'
_space_group_name_H-M_alt 'I -4 2 d'
_space_group_IT_number 122
_space_group_name_Hall 'I -4 2bw'
_cell_length_a 7.731
_cell_length_b 7.731
_cell_length_c 5.851
_cell_angle_alpha 90.00
_cell_angle_beta 90.00
_cell_angle_gamma 90.00
loop_
_atom_site_label
_atom_site_type_symbol
_atom_site_fract_x
_atom_site_fract_y
_atom_site_fract_z
Y1 Y 0.000 0.000 0.000
Ta1 Ta 0.223 0.750 0.625
Nb1 Nb 0.000 0.000 0.500


# Pm4NiIr3 | the Alexandria database | PBE-GGA | relaxed
# DOS at the Fermi energy   3.48 states/eV/f.u.
# Total energy   -7.026 eV/atom
# ΔH_f (0 K)   -0.61 eV/atom
data_Pm4NiIr3
_chemical_formula_sum 'Pm4 Ni1 Ir3'
_space_group_name_H-M_alt 'P m m 2'
_space_group_IT_number 25
_cell_length_a 4.035
_cell_length_b 4.164
_cell_length_c 10.885
_cell_angle_alpha 90.00
_cell_angle_beta 90.00
_cell_angle_gamma 90.00
loop_
_space_group_symop_operation_xyz
'x,y,z'
'-x,-y,z'
'-x,y,z'
'x,-y,z'
loop_
_atom_site_label
_atom_site_type_symbol
_atom_site_fract_x
_atom_site_fract_y
_atom_site_fract_z
Pm1 Pm 0.000 0.000 0.000
Pm2 Pm 0.000 0.500 0.286
Pm3 Pm 0.500 0.000 0.501
Pm4 Pm 0.500 0.500 0.788
Ni1 Ni 0.500 0.000 0.214
Ir1 Ir 0.000 0.000 0.725
Ir2 Ir 0.000 0.500 0.558
Ir3 Ir 0.500 0.500 0.076


# BaCeCdO4 | the Alexandria database | PBE-GGA | relaxed
# E_form (uncorrected)   -2.47 eV per atom
# DOS at the Fermi energy   0.00 states/eV/f.u.
# Total energy   -6.553 eV/atom
data_BaCeCdO4
_chemical_formula_sum 'Ba4 Ce4 Cd4 O16'
_space_group_name_H-M_alt 'I m m a'
_space_group_IT_number 74
_space_group_name_Hall '-I 2b 2'
_cell_length_a 7.164
_cell_length_b 7.264
_cell_length_c 10.011
_cell_angle_alpha 90.00
_cell_angle_beta 90.00
_cell_angle_gamma 90.00
loop_
_atom_site_label
_atom_site_type_symbol
_atom_site_fract_x
_atom_site_fract_y
_atom_site_fract_z
Ba1 Ba 0.000 0.250 0.138
Ce1 Ce 0.000 0.000 0.500
Cd1 Cd 0.250 0.250 0.750
O1 O 0.000 0.043 0.724
O2 O 0.196 0.250 0.493


# Rb3RuRh3Se8 | the Alexandria database | PBE-GGA | relaxed
# E_form (uncorrected)   -0.59 eV per atom
# DOS at the Fermi energy   9.37 states/eV/f.u.
# Total energy   -4.730 eV/atom
data_Rb3RuRh3Se8
_chemical_formula_sum 'Rb6 Ru2 Rh6 Se16'
_space_group_name_H-M_alt 'C 1 2/m 1'
_space_group_IT_number 12
_cell_length_a 13.326
_cell_length_b 7.689
_cell_length_c 8.811
_cell_angle_alpha 90.00
_cell_angle_beta 120.34
_cell_angle_gamma 90.00
loop_
_space_group_symop_operation_xyz
'x,y,z'
'-x,-y,-z'
'-x,y,-z'
'x,-y,z'
'x+1/2,y+1/2,z'
'-x+1/2,-y+1/2,-z'
'-x+1/2,y+1/2,-z'
'x+1/2,-y+1/2,z'
loop_
_atom_site_label
_atom_site_type_symbol
_atom_site_fract_x
_atom_site_fract_y
_atom_site_fract_z
Rb1 Rb 0.000 0.000 0.000
Rb2 Rb 0.250 0.250 0.000
Ru1 Ru 0.000 0.000 0.500
Rh1 Rh 0.000 0.500 0.500
Rh2 Rh 0.250 0.250 0.500
Se1 Se 0.029 0.251 0.337
Se2 Se 0.220 0.500 0.660
Se3 Se 0.222 0.000 0.663


# Sr3U | the Alexandria database | PBE-GGA | relaxed
# DOS at the Fermi energy   11.99 states/eV/f.u.
# Total energy   -3.304 eV/atom
# ΔH_f (0 K)   0.78 eV/atom
data_Sr3U
_chemical_formula_sum 'Sr3 U1'
_space_group_name_H-M_alt 'P m -3 m'
_space_group_IT_number 221
_space_group_name_Hall '-P 4 2 3'
_cell_length_a 5.666
_cell_length_b 5.666
_cell_length_c 5.666
_cell_angle_alpha 90.00
_cell_angle_beta 90.00
_cell_angle_gamma 90.00
loop_
_atom_site_label
_atom_site_type_symbol
_atom_site_fract_x
_atom_site_fract_y
_atom_site_fract_z
Sr1 Sr 0.000 0.000 0.500
U1 U 0.500 0.500 0.500


# Zr4FeRh | the Alexandria database | PBE-GGA | relaxed
# DOS at the Fermi energy   9.14 states/eV/f.u.
# Total energy   -7.781 eV/atom
# ΔH_f (0 K)   0.55 eV/atom
data_Zr4FeRh
_chemical_formula_sum 'Zr16 Fe4 Rh4'
_space_group_name_H-M_alt 'F -4 3 m'
_space_group_IT_number 216
_space_group_name_Hall 'F -4 2 3'
_cell_length_a 7.885
_cell_length_b 7.885
_cell_length_c 7.885
_cell_angle_alpha 90.00
_cell_angle_beta 90.00
_cell_angle_gamma 90.00
loop_
_atom_site_label
_atom_site_type_symbol
_atom_site_fract_x
_atom_site_fract_y
_atom_site_fract_z
Zr1 Zr 0.125 0.125 0.125
Fe1 Fe 0.250 0.250 0.750
Rh1 Rh 0.000 0.000 0.500


# SrGa2Te2 | the Alexandria database | PBE-GGA | relaxed
# E_form (uncorrected)   -0.45 eV per atom
# DOS at the Fermi energy   0.00 states/eV/f.u.
# Total energy   -3.256 eV/atom
data_SrGa2Te2
_chemical_formula_sum 'Sr2 Ga4 Te4'
_space_group_name_H-M_alt 'P 4/m b m'
_space_group_IT_number 127
_space_group_name_Hall '-P 4 2ab'
_cell_length_a 8.683
_cell_length_b 8.683
_cell_length_c 4.440
_cell_angle_alpha 90.00
_cell_angle_beta 90.00
_cell_angle_gamma 90.00
loop_
_atom_site_label
_atom_site_type_symbol
_atom_site_fract_x
_atom_site_fract_y
_atom_site_fract_z
Sr1 Sr 0.000 0.000 0.000
Ga1 Ga 0.114 0.386 0.500
Te1 Te 0.182 0.682 0.000